{
  "formula": "SrCu2AgW",
  "functional": "GGA-PBE",
  "state": "optimized geometry",
  "lattice_angstrom": [[4.819, 0.000, 0.000], [0.000, 4.819, 0.000], [0.000, 0.000, 5.205]],
  "species": ["Sr", "Cu", "Cu", "Ag", "W"],
  "frac_coords": [[0.000, 0.000, 0.000], [0.000, 0.500, 0.500], [0.500, 0.000, 0.500], [0.500, 0.500, 0.000], [0.500, 0.500, 0.500]],
  "final_energy_ev_per_atom": -4.286,
  "e_form_ev_per_fu": 4.25
}

***

{
  "formula": "PrZrHg",
  "functional": "GGA-PBE",
  "state": "optimized geometry",
  "lattice_angstrom": [[3.528, 0.000, 0.000], [0.000, 3.528, 0.000], [0.000, 0.000, 12.845]],
  "species": ["Pr", "Pr", "Zr", "Zr", "Hg", "Hg"],
  "frac_coords": [[0.000, 0.000, 0.000], [0.500, 0.500, 0.500], [0.000, 0.000, 0.317], [0.500, 0.500, 0.817], [0.000, 0.000, 0.683], [0.500, 0.500, 0.183]],
  "final_energy_ev_per_atom": -4.681,
  "relative_energy_mev_per_atom": 24,
  "e_form_ev_per_fu": -0.41
}

***

{
  "formula": "Rb2TlTeS",
  "functional": "GGA-PBE",
  "state": "optimized geometry",
  "lattice_angstrom": [[6.366, 0.000, 0.000], [0.000, 6.366, 0.000], [0.000, 0.000, 5.335]],
  "species": ["Rb", "Rb", "Tl", "Te", "S"],
  "frac_coords": [[0.000, 0.500, 0.000], [0.500, 0.000, 0.000], [0.000, 0.000, 0.500], [0.500, 0.500, 0.500], [0.000, 0.000, 0.000]],
  "final_energy_ev_per_atom": -2.909,
  "raw_formation_energy_ev_per_atom": -0.59,
  "relative_energy_mev_per_atom": 163
}

***

Q: What is the formula in the first record?
A: SrCu2AgW